Entry from Alexandria: a relaxed Ba3In crystal (PBE).

Summary:
Space group = Pm-3n, No. 223
Uncorrected energy = -0.1635 Ry/atom
Formation energy from the elements = -0.097 eV per atom
Total magnetization = 0.70 μB per formula unit
Crystal system = cubic

The structure in POSCAR format:
```
Ba3In
1.0
7.160 0.000 0.000
0.000 7.160 0.000
0.000 0.000 7.160
Ba In
6 2
direct
0.000 0.250 0.500
0.000 0.750 0.500
0.250 0.500 0.000
0.500 0.000 0.250
0.500 0.000 0.750
0.750 0.500 0.000
0.000 0.000 0.000
0.500 0.500 0.500
```